First-principles (PBE) data for a geometry-optimized Hg2PI4Cl2 structure, as listed in Alexandria.

Properties
E: -1.92 eV per atom
N(E_F): 0.079 states/eV/cell
E_form (uncorrected): -0.16 eV per atom

Unit cell a=11.0242 b=11.0242 c=4.2859 alpha=93.59 beta=93.59 gamma=45.22
With the nearest neighbours (Å) after each atom.
Element x y z (fractional)
Hg (0.1748, 0.1748, 0.2474)  1 Cl 2.48
Hg (0.8252, 0.8252, 0.7526)  1 Cl 2.48
P (0.0000, 0.0000, 0.5000)  4 I 2.78
I (0.1586, 0.6708, 0.6280)  1 P 2.78, 1 Hg 2.83
I (0.3292, 0.8414, 0.3720)  1 P 2.78, 1 Hg 2.83
I (0.6708, 0.1586, 0.6280)  1 P 2.78, 1 Hg 2.83
I (0.8414, 0.3292, 0.3720)  1 P 2.78, 1 Hg 2.83
Cl (0.2511, 0.2511, 0.8214)  1 Hg 2.48
Cl (0.7489, 0.7489, 0.1786)  1 Hg 2.48